[1]
Entry from OQMD via LeMat-Bulk: a relaxed BaNaErSe3 crystal (PBE-GGA).

Summary:
The space group is P2_1/m, No. 11. The calculation puts the energy above the lowest structure with this stoichiometry at 0 meV/atom. The crystal system is monoclinic. The density is 5.459 g cm⁻³.

abc: 8.331 4.359 9.956
angles: 90.00 108.22 90.00
Fractional coordinates of all 12 atoms:
Er  0.189  0.250  0.648
Ba  0.248  0.750  0.227
Ba  0.752  0.250  0.773
Se  0.042  0.250  0.355
Se  0.224  0.250  0.954
Na  0.595  0.250  0.089
Se  0.776  0.750  0.046
Er  0.811  0.750  0.352
Se  0.586  0.250  0.363
Na  0.405  0.750  0.911
Se  0.414  0.750  0.637
Se  0.958  0.750  0.645

=====

[2]
Entry from OQMD via LeMat-Bulk: a relaxed BaNaErSe3 crystal (PBE-GGA).

Summary:
The space group is Cmcm, No. 63. The calculation puts the energy above the lowest structure with this stoichiometry at 2 meV/atom. The crystal system is orthorhombic. The density is 5.538 g cm⁻³.

abc: 7.461 7.461 10.815
angles: 90.00 90.00 145.79
Fractional coordinates of all 12 atoms:
Na  0.472  0.528  0.750
Se  0.366  0.634  0.544
Ba  0.747  0.253  0.750
Na  0.528  0.472  0.250
Se  0.366  0.634  0.956
Se  0.634  0.366  0.044
Er  0.000  0.000  0.000
Er  0.000  0.000  0.500
Se  0.078  0.922  0.750
Se  0.634  0.366  0.456
Se  0.922  0.078  0.250
Ba  0.253  0.747  0.250

=====

[3]
Entry from OQMD via LeMat-Bulk: a relaxed BaNaErTe3 crystal (PBE-GGA).

Summary:
The space group is P2_1/m, No. 11. The calculation puts the energy above the lowest structure with this stoichiometry at 0 meV/atom. The crystal system is monoclinic. The density is 5.679 g cm⁻³.

abc: 8.834 4.643 10.640
angles: 90.00 107.85 90.00
Fractional coordinates of all 12 atoms:
Er  0.310  0.750  0.848
Te  0.546  0.250  0.855
Te  0.083  0.250  0.868
Te  0.719  0.250  0.457
Ba  0.753  0.750  0.727
Te  0.281  0.750  0.543
Na  0.092  0.250  0.591
Ba  0.247  0.250  0.273
Te  0.917  0.750  0.132
Er  0.690  0.250  0.152
Na  0.908  0.750  0.409
Te  0.454  0.750  0.145

=====

[4]
Entry from OQMD via LeMat-Bulk: a relaxed BaNaErTe3 crystal (PBE-GGA).

Summary:
The space group is Pnma, No. 62. The calculation puts the energy above the lowest structure with this stoichiometry at 6 meV/atom. The crystal system is orthorhombic. The density is 5.780 g cm⁻³.

abc: 11.532 4.660 15.192
angles: 90.00 90.00 90.00
Fractional coordinates of all 24 atoms:
Ba  0.748  0.750  0.496
Te  0.040  0.250  0.113
Na  0.246  0.250  0.223
Na  0.746  0.250  0.277
Na  0.754  0.750  0.777
Te  0.246  0.750  0.334
Er  0.504  0.250  0.750
Ba  0.248  0.750  0.004
Na  0.254  0.750  0.723
Te  0.547  0.750  0.887
Er  0.996  0.750  0.250
Er  0.496  0.750  0.250
Te  0.453  0.250  0.113
Ba  0.752  0.250  0.996
Te  0.540  0.250  0.387
Te  0.254  0.250  0.834
Te  0.754  0.250  0.666
Te  0.746  0.750  0.166
Ba  0.252  0.250  0.504
Te  0.460  0.750  0.613
Te  0.953  0.250  0.387
Te  0.960  0.750  0.887
Te  0.047  0.750  0.613
Er  0.004  0.250  0.750